No. 1
Here is NiBiSe after structural relaxation from Alexandria. Energies are from GGA-PBEsol.

a b c (Å): 6.145 6.145 6.145
angles (deg): 90.00 90.00 90.00
Fractional coordinates of all 12 atoms:
Ni 0.021 0.479 0.521
Ni 0.479 0.521 0.021
Ni 0.521 0.021 0.479
Ni 0.979 0.979 0.979
Bi 0.138 0.862 0.362
Bi 0.362 0.138 0.862
Bi 0.638 0.638 0.638
Bi 0.862 0.362 0.138
Se 0.126 0.626 0.874
Se 0.374 0.374 0.374
Se 0.626 0.874 0.126
Se 0.874 0.126 0.626

Summary:
Fermi-level density of states: 6.45 states/eV per cell
E_form (uncorrected): -0.85 eV per formula unit
symmetry: P2_13 (198)

No. 2
Here is SrBBr2 after structural relaxation from Alexandria. Energies are from GGA-PBEsol.

a b c (Å): 7.308 7.308 7.308
angles (deg): 90.00 90.00 90.00
Fractional coordinates of all 16 atoms:
Sr 0.000 0.000 0.000
Sr 0.000 0.500 0.500
Sr 0.500 0.000 0.500
Sr 0.500 0.500 0.000
B 0.000 0.000 0.500
B 0.000 0.500 0.000
B 0.500 0.000 0.000
B 0.500 0.500 0.500
Br 0.250 0.250 0.250
Br 0.250 0.250 0.750
Br 0.250 0.750 0.250
Br 0.250 0.750 0.750
Br 0.750 0.250 0.250
Br 0.750 0.250 0.750
Br 0.750 0.750 0.250
Br 0.750 0.750 0.750

Summary:
Fermi-level density of states: 12.35 states/eV per cell
E_form (uncorrected): -0.57 eV per formula unit
offset from the most stable computed form: 0 meV per atom
symmetry: Fm-3m (225)

No. 3
Here is CdHg2Ir after structural relaxation from Alexandria. Energies are from GGA-PBEsol.

a b c (Å): 4.052 4.063 8.828
angles (deg): 90.00 90.00 90.00
Fractional coordinates of all 8 atoms:
Cd 0.000 0.000 0.000
Cd 0.500 0.500 0.500
Hg 0.000 0.000 0.500
Hg 0.000 0.500 0.750
Hg 0.500 0.000 0.250
Hg 0.500 0.500 0.000
Ir 0.000 0.500 0.250
Ir 0.500 0.000 0.750

Summary:
formation energy: 0.26 eV/atom
Fermi-level density of states: 2.80 states/eV per cell
offset from the most stable computed form: 0 meV per atom
symmetry: Imm2 (44)

No. 4
Here is BaCaCr after structural relaxation from Alexandria. Energies are from GGA-PBEsol.

a b c (Å): 5.599 5.599 3.880
angles (deg): 90.00 90.00 120.00
Fractional coordinates of all 3 atoms:
Ba 0.000 0.000 0.000
Ca 0.333 0.667 0.562
Cr 0.667 0.333 0.417

Summary:
formation energy: 0.76 eV/atom
Fermi-level density of states: 3.39 states/eV per cell
offset from the most stable computed form: 0 meV per atom
symmetry: P3m1 (156)

No. 5
Here is GaPbN2 after structural relaxation from Alexandria. Energies are from GGA-PBEsol.

a b c (Å): 3.625 3.625 17.768
angles (deg): 90.00 90.00 120.00
Fractional coordinates of all 12 atoms:
Ga 0.000 0.000 0.000
Ga 0.333 0.667 0.667
Ga 0.667 0.333 0.333
Pb 0.000 0.000 0.500
Pb 0.333 0.667 0.167
Pb 0.667 0.333 0.833
N 0.000 0.000 0.100
N 0.000 0.000 0.900
N 0.333 0.667 0.567
N 0.333 0.667 0.766
N 0.667 0.333 0.234
N 0.667 0.333 0.433

Summary:
Fermi-level density of states: 4.54 states/eV per cell
E_form (uncorrected): 2.42 eV per formula unit
symmetry: R-3m (166)

No. 6
Here is CsBeAs3 after structural relaxation from Alexandria. Energies are from GGA-PBEsol.

a b c (Å): 5.589 5.589 5.589
angles (deg): 90.00 90.00 90.00
Fractional coordinates of all 5 atoms:
Cs 0.000 0.000 0.000
Be 0.500 0.500 0.500
As 0.000 0.000 0.500
As 0.000 0.500 0.000
As 0.500 0.000 0.000

Summary:
formation energy: 2.27 eV/atom
Fermi-level density of states: 5.10 states/eV per cell
symmetry: Pm-3m (221)